Computed, not measured: an optimized crystal structure of Rb2CoCBr6 at the PBE level of DFT.

Results
uncorrected formation energy: -256 kJ/mol of formula units
symmetry: Fm-3m (225)

a b c (Å): 7.265 7.265 7.266
angles (deg): 60.00 60.00 90.00
Site moments in Bohr magnetons follow the coordinates.
Fractional positions:
C 0.500 0.500 0.000  0.20
Co 0.000 0.000 0.000  2.22
Br 0.252 0.252 0.496  0.05
Br 0.748 0.748 0.504  0.05
Br 0.252 0.252 0.000  0.05
Br 0.748 0.748 0.000  0.05
Br 0.748 0.252 0.000  0.05
Br 0.252 0.748 0.000  0.05
Rb 0.750 0.250 0.500  0.00
Rb 0.250 0.750 0.500  0.00

Computed, not measured: an optimized crystal structure of CoRhCBr2 at the PBE level of DFT.

Results
uncorrected formation energy: 514 kJ/mol of formula units
symmetry: P4/mmm (123)

a b c (Å): 5.264 3.754 5.264
angles (deg): 90.00 90.00 90.00
Site moments in Bohr magnetons follow the coordinates.
Fractional positions:
Co 0.500 0.500 0.500  2.12
C 0.000 0.500 0.000  0.00
Rh 0.000 0.000 0.000  0.02
Br 0.000 0.000 0.500  0.03
Br 0.500 0.000 0.000  0.04

Computed, not measured: an optimized crystal structure of CoCSeBr2 at the PBE level of DFT.

Results
uncorrected formation energy: 769 kJ/mol of formula units
symmetry: P4/mmm (123)
polymorph energy (0 for the lowest one): 0.134 eV/atom

a b c (Å): 4.890 4.890 4.498
angles (deg): 90.00 90.00 90.00
Fractional positions:
C 0.500 0.500 0.500
Co 0.000 0.000 0.000
Se 0.000 0.000 0.500
Br 0.000 0.500 0.000
Br 0.500 0.000 0.000

Computed, not measured: an optimized crystal structure of CoCSeBr2 at the PBE level of DFT.

Results
uncorrected formation energy: 705 kJ/mol of formula units
symmetry: P4/mmm (123)
polymorph energy (0 for the lowest one): 0.000 eV/atom

a b c (Å): 4.767 4.767 4.322
angles (deg): 90.00 90.00 90.00
Site moments in Bohr magnetons follow the coordinates.
Fractional positions:
C 0.000 0.000 0.000  -0.01
Co 0.500 0.500 0.500  2.27
Se 0.000 0.000 0.500  0.19
Br 0.000 0.500 0.000  0.09
Br 0.500 0.000 0.000  0.09

Computed, not measured: an optimized crystal structure of CoCSe2Br at the PBE level of DFT.

Results
uncorrected formation energy: 768 kJ/mol of formula units
symmetry: P4/mmm (123)
polymorph energy (0 for the lowest one): 0.162 eV/atom

a b c (Å): 4.601 4.601 5.008
angles (deg): 90.00 90.00 90.00
Site moments in Bohr magnetons follow the coordinates.
Fractional positions:
C 0.500 0.500 0.500  0.74
Co 0.000 0.000 0.000  -1.04
Se 0.000 0.500 0.000  -0.31
Se 0.500 0.000 0.000  -0.31
Br 0.000 0.000 0.500  -0.08

Computed, not measured: an optimized crystal structure of CoCSe2Br at the PBE level of DFT.

Results
uncorrected formation energy: 690 kJ/mol of formula units
symmetry: P4/mmm (123)
polymorph energy (0 for the lowest one): 0.000 eV/atom

a b c (Å): 4.353 4.353 4.735
angles (deg): 90.00 90.00 90.00
Site moments in Bohr magnetons follow the coordinates.
Fractional positions:
C 0.000 0.000 0.000  -0.04
Co 0.500 0.500 0.500  2.22
Se 0.000 0.500 0.000  0.17
Se 0.500 0.000 0.000  0.17
Br 0.000 0.000 0.500  0.15

Computed, not measured: an optimized crystal structure of Sm8Co3CBr3 at the PBE level of DFT.

Results
uncorrected formation energy: -811 kJ/mol of formula units
symmetry: C2/m (12)

a b c (Å): 7.881 7.886 8.845
angles (deg): 116.50 89.95 120.01
Fractional positions:
Sm 0.269 0.537 0.305
Sm 0.731 0.463 0.695
Sm 0.780 0.559 0.319
Sm 0.220 0.441 0.681
Sm 0.780 0.039 0.319
Sm 0.220 0.961 0.681
Sm 0.259 0.039 0.318
Sm 0.741 0.961 0.682
Co 0.500 0.000 0.500
Co 0.500 0.500 0.500
Co 0.000 0.500 0.500
C 0.000 0.000 0.500
Br 0.000 0.000 0.000
Br 0.000 0.500 0.000
Br 0.500 0.500 0.000

Computed, not measured: an optimized crystal structure of Sm4CoCBr2 at the PBE level of DFT.

Results
uncorrected formation energy: -579 kJ/mol of formula units
symmetry: P2/m (10)

a b c (Å): 3.797 6.974 7.761
angles (deg): 106.40 90.00 90.00
Fractional positions:
Sm 0.500 0.235 0.185
Sm 0.500 0.765 0.815
Sm 0.000 0.288 0.818
Sm 0.000 0.712 0.182
Co 0.000 0.000 0.000
C 0.500 0.500 0.000
Br 0.500 0.000 0.500
Br 0.000 0.500 0.500

Number 1: total energy -3.096 eV per atom, calculated density 4.4 g cm⁻³. Number 2: total energy -4.339 eV per atom, calculated density 5.3 g cm⁻³. Number 3: total energy -3.037 eV per atom, calculated density 4.8 g cm⁻³. Number 4: total energy -3.171 eV per atom, calculated density 5.2 g cm⁻³. Number 5: total energy -3.403 eV per atom, calculated density 4.8 g cm⁻³. Number 6: total energy -3.565 eV per atom, calculated density 5.7 g cm⁻³. Number 7: total energy -5.448 eV per atom, calculated density 6.6 g cm⁻³. Number 8: total energy -5.569 eV per atom, calculated density 7.0 g cm⁻³.